DFT (PBE) results for a geometry-optimized Nd2HoAgSe5 structure.

**Formation energy from raw total energies**: -1343 kJ/mol of formula units
**Density of states at the Fermi level**: 0.0 states/eV/f.u.
**Total magnetization**: 0.0 μB/f.u.
**Uncorrected energy**: -5.368 eV per atom
**Volume**: 911.2 Å³/cell

a b c (Å): 4.1498 17.5311 12.5245
angles (deg): 90.00 90.00 90.00
Closest atoms and distances in Å follow each position.
Space group Cmc2_1 (No. 36)
One atom of each set of equivalent atoms:
Nd 0.0000 0.1101 0.0000 (multiplicity 4)  8 Se 3.05-3.24
Nd 0.0000 0.1253 0.6196 (multiplicity 4)  8 Se 3.02-3.21
Ho 0.0000 0.1957 0.3232 (multiplicity 4)  6 Se 2.77-2.91
Ag 0.0000 0.4427 0.7735 (multiplicity 4)  4 Se 2.56-2.79
Se 0.0000 0.0462 0.3937 (multiplicity 4)  2 Ag 2.57, 1 Ho 2.77
Se 0.0000 0.2861 0.9809 (multiplicity 4)  2 Ho 2.88, 3 Nd 3.09-3.12
Se 0.0000 0.3056 0.6598 (multiplicity 4)  1 Ag 2.79, 2 Ho 2.91
Se 0.0000 0.3589 0.3144 (multiplicity 4)  1 Ho 2.86, 2 Nd 3.16
Se 0.0000 0.4976 0.0870 (multiplicity 4)  1 Ag 2.56